(a)
CaMnSb2Te: optimized geometry, GGA-PBE.

Results
Crystal system   tetragonal

Lattice parameters (Å, degrees): 4.814 4.814 6.127 90.00 90.00 90.00
Atoms (fractional coordinates):
Sb1 0.500 0.000 0.000
Ca1 0.500 0.500 0.500
Mn1 0.000 0.000 0.000
Te1 0.000 0.000 0.500
Sb2 0.000 0.500 0.000

---

(b)
CaMnSb2Te: optimized geometry, GGA-PBE.

Results
Crystal system   tetragonal

Lattice parameters (Å, degrees): 5.731 5.731 5.685 90.00 90.00 90.00
Each line ends with the local moment (μB).
Atoms (fractional coordinates):
Sb1 0.000 0.500 0.000  -0.10
Te1 0.000 0.000 0.500  -0.04
Ca1 0.000 0.000 0.000  0.01
Sb2 0.500 0.000 0.000  -0.10
Mn1 0.500 0.500 0.500  4.55

---

Quick one: most stable of them? (a)

---

(a)
CaMnSe2: optimized geometry, GGA-PBE.

Results
Crystal system   monoclinic

Lattice parameters (Å, degrees): 3.613 3.881 6.990 91.32 90.00 90.00
Each line ends with the local moment (μB).
Atoms (fractional coordinates):
Mn1 0.500 0.750 0.750  3.96
Se1 0.000 0.743 0.008  0.01
Ca1 0.500 0.250 0.250  0.03
Se2 0.000 0.757 0.492  0.01

---

(b)
CaMnSe2: optimized geometry, GGA-PBE.

Results
Crystal system   cubic

Lattice parameters (Å, degrees): 4.996 4.996 4.996 60.00 60.00 60.00
Each line ends with the local moment (μB).
Atoms (fractional coordinates):
Se1 0.000 0.000 0.000  0.04
Se2 0.250 0.250 0.250  0.14
Ca1 0.500 0.500 0.500  0.04
Mn1 0.750 0.750 0.750  4.17

---

(c)
CaMnSe2: optimized geometry, GGA-PBE.

Results
Crystal system   orthorhombic

Lattice parameters (Å, degrees): 5.333 5.333 5.333 135.38 105.96 90.76
Each line ends with the local moment (μB).
Atoms (fractional coordinates):
Mn1 0.250 0.750 0.500  4.25
Se1 0.472 0.472 0.000  0.10
Ca1 0.750 0.250 0.500  0.03
Se2 0.028 0.028 0.000  0.10

---

Quick one: most stable of them? (a)

---

(a)
CaMnSe2: optimized geometry, GGA-PBE.

Results
Crystal system   trigonal

Lattice parameters (Å, degrees): 8.664 8.664 8.664 25.78 25.78 25.78
Each line ends with the local moment (μB).
Atoms (fractional coordinates):
Se1 0.112 0.112 0.112  -0.05
Mn1 0.500 0.500 0.500  3.85
Se2 0.888 0.888 0.888  -0.05
Ca1 0.000 0.000 0.000  0.01

---

(b)
CaMnSe2: optimized geometry, GGA-PBE.

Results
Crystal system   tetragonal

Lattice parameters (Å, degrees): 5.981 5.981 7.156 65.30 65.30 90.00
Atoms (fractional coordinates):
Se1 0.375 0.297 0.750
Mn1 0.750 0.250 0.500
Se2 0.703 0.125 0.250
Mn2 0.000 0.000 0.000
Se3 0.875 0.953 0.750
Se4 0.047 0.625 0.250
Ca1 0.500 0.500 0.000
Ca2 0.250 0.750 0.500

---

(c)
CaMnSe2: optimized geometry, GGA-PBE.

Results
Crystal system   cubic

Lattice parameters (Å, degrees): 4.711 4.711 4.711 60.00 60.00 60.00
Atoms (fractional coordinates):
Se1 0.750 0.750 0.750
Se2 0.250 0.250 0.250
Ca1 0.000 0.000 0.000
Mn1 0.500 0.500 0.500

---

(d)
CaMnSe2: optimized geometry, GGA-PBE.

Results
Crystal system   trigonal

Lattice parameters (Å, degrees): 6.946 6.946 6.946 33.90 33.90 33.90
Each line ends with the local moment (μB).
Atoms (fractional coordinates):
Se1 0.242 0.242 0.242  0.08
Se2 0.758 0.758 0.758  0.08
Ca1 0.000 0.000 0.000  0.03
Mn1 0.500 0.500 0.500  4.34

---

Quick one: most stable of them? (d)